Here is an optimized crystal structure of Tl3NiGe from Alexandria. Energies are from PBE-GGA.

Geometry as POSCAR:
```
Tl3NiGe
1.0
5.095 0.000 0.000
0.000 5.095 0.000
0.000 0.000 5.095
Tl Ni Ge
3 1 1
Direct
0.000 0.000 0.500 Tl
0.000 0.500 0.000 Tl
0.500 0.000 0.000 Tl
0.000 0.000 0.000 Ni
0.500 0.500 0.500 Ge
```

## Properties
ΔE to the lowest computed polymorph: 0 meV per atom
M_tot: 0.0 μB per formula unit
Space-group type: No. 221
Formation energy: 0.359 eV/atom